Entry 1:
First-principles (PBEsol) data for crystalline FeNiSe2 at its relaxed geometry, as listed in the Alexandria database.

The structure belongs to space group R3m (No. 160, hexagonal axes); the cell edges are 3.5780, 3.5780 and 17.9120 Å and the angles 90.00°, 90.00° and 120.00°. The asymmetric unit holds Fe at (0.0000, 0.0000, 0.0000), Ni at (0.0000, 0.0000, 0.7283), Se at (0.0000, 0.0000, 0.2628) and Se at (0.0000, 0.0000, 0.4514).

As for the relative energy among the computed polymorphs: 0.184 eV/atom. The density is 6.83 g/cm³. For the uncorrected formation energy, the calculation gives -0.363 eV/f.u. For the total energy, the calculation gives -69.6 eV/cell.


Entry 2:
First-principles (PBEsol) data for crystalline TiFeNiSe2 at its relaxed geometry, as listed in the Alexandria database.

The structure belongs to space group P4/mmm (No. 123); the cell edges are 4.781, 4.781 and 4.294 Å and the angles 90.00°, 90.00° and 90.00°. The asymmetric unit holds Ti at (0.000, 0.000, 0.000), Fe at (0.000, 0.000, 0.500), Ni at (0.500, 0.500, 0.500) and Se at (0.000, 0.500, 0.000).

The density is 5.42 g/cm³. For the uncorrected formation energy, the calculation gives 3.824 eV/f.u. For the total energy, the calculation gives -27.3 eV/cell.


Entry 3:
First-principles (PBEsol) data for crystalline FeSiNi at its relaxed geometry, as listed in the Alexandria database.

The structure belongs to space group Pnma (No. 62); the cell edges are 4.876, 3.889 and 6.746 Å and the angles 90.00°, 90.00° and 90.00°. The asymmetric unit holds Fe at (0.000, 0.250, 0.250), Si at (0.250, 0.250, 0.584) and Ni at (0.249, 0.250, 0.917).

The density is 7.41 g/cm³. For the uncorrected formation energy, the calculation gives -1.364 eV/f.u. For the total energy, the calculation gives -88.9 eV/cell.


Entry 4:
First-principles (PBEsol) data for crystalline Fe6SiNi at its relaxed geometry, as listed in the Alexandria database.

The structure belongs to space group Cmmm (No. 65); the cell edges are 6.967, 9.902 and 9.902 Å and the angles 90.00°, 90.00° and 90.00°. The asymmetric unit holds Fe at (0.000, 0.000, 0.000), Fe at (0.000, 0.000, 0.500), Fe at (0.000, 0.249, 0.249), Fe at (0.000, 0.500, 0.000), Fe at (0.000, 0.500, 0.500), Fe at (0.249, 0.375, 0.124), Fe at (0.250, 0.125, 0.374), Si at (0.000, 0.248, 0.500), Si at (0.000, 0.500, 0.248), Ni at (0.000, 0.000, 0.248) and Ni at (0.000, 0.247, 0.000).

The density is 8.20 g/cm³. For the uncorrected formation energy, the calculation gives -0.923 eV/f.u. For the total energy, the calculation gives -532.9 eV/cell.


Entry 5:
First-principles (PBEsol) data for crystalline FeSiNi at its relaxed geometry, as listed in the Alexandria database.

The structure belongs to space group F-43m (No. 216); the cell edges are 5.311, 5.311 and 5.311 Å and the angles 90.00°, 90.00° and 90.00°. The asymmetric unit holds Fe at (0.000, 0.000, 0.000), Si at (0.250, 0.250, 0.250) and Ni at (0.250, 0.250, 0.750).

The density is 6.32 g/cm³. For the uncorrected formation energy, the calculation gives -0.062 eV/f.u. For the total energy, the calculation gives -83.7 eV/cell.


Entry 6:
First-principles (PBEsol) data for crystalline FeSi2Ni at its relaxed geometry, as listed in the Alexandria database.

The structure belongs to space group P4/mmm (No. 123); the cell edges are 3.913, 3.913 and 2.766 Å and the angles 90.00°, 90.00° and 90.00°. The asymmetric unit holds Fe at (0.000, 0.000, 0.000), Si at (0.000, 0.500, 0.500) and Ni at (0.500, 0.500, 0.000).

The density is 6.69 g/cm³. For the uncorrected formation energy, the calculation gives -1.850 eV/f.u. For the total energy, the calculation gives -28.5 eV/cell.


Entry 7:
First-principles (PBEsol) data for crystalline FeSiNi at its relaxed geometry, as listed in the Alexandria database.

The structure belongs to space group P3m1 (No. 156); the cell edges are 2.5727, 2.5727 and 5.7172 Å and the angles 90.00°, 90.00° and 120.00°. The asymmetric unit holds Fe at (0.0000, 0.0000, 0.0000), Si at (0.6667, 0.3333, 0.3303) and Ni at (0.3333, 0.6667, 0.6495).

The density is 7.23 g/cm³. For the uncorrected formation energy, the calculation gives -0.607 eV/f.u. For the total energy, the calculation gives -21.5 eV/cell.


Entry 8:
First-principles (PBEsol) data for crystalline FeSi2Ni at its relaxed geometry, as listed in the Alexandria database.

The structure belongs to space group I-4m2 (No. 119); the cell edges are 3.349, 3.349 and 7.623 Å and the angles 90.00°, 90.00° and 90.00°. The asymmetric unit holds Fe at (0.000, 0.000, 0.000), Si at (0.000, 0.000, 0.500), Si at (0.000, 0.500, 0.250) and Ni at (0.000, 0.500, 0.750).

The density is 6.63 g/cm³. For the uncorrected formation energy, the calculation gives -1.759 eV/f.u. For the total energy, the calculation gives -56.7 eV/cell.


| no. | V (Å³/cell) |
| --- | --- |
| 1 | 198.6 |
| 2 | 98.2 |
| 3 | 127.9 |
| 4 | 683.2 |
| 5 | 149.8 |
| 6 | 42.3 |
| 7 | 32.8 |
| 8 | 85.5 |